KRb2ClF | GGA-PBE | optimized geometry

## Properties
calculated total energy: -14.8 eV/cell
calculated volume: 36.91 Å³ per atom
formation energy from raw total energies: -1.608 eV/atom

abc: 5.9005 5.9005 5.3013
angles: 90.00 90.00 90.00
Closest atoms and distances in Å follow each position.
Positions (direct):
Cl  0.5000  0.5000  0.5000  8 Rb 3.97, 4 K 4.17
K  0.0000  0.0000  0.5000  2 F 2.65
Rb  0.5000  0.0000  0.0000  2 F 2.95
Rb  0.0000  0.5000  0.0000  2 F 2.95
F  0.0000  0.0000  0.0000  2 K 2.65, 4 Rb 2.95

***

KRbCl2F8 | GGA-PBE | optimized geometry

## Properties
calculated total energy: -38.0 eV/cell
calculated volume: 17.47 Å³ per atom
formation energy from raw total energies: -1.436 eV/atom

abc: 6.1099 6.1099 7.0842
angles: 115.55 115.55 90.00
Closest atoms and distances in Å follow each position.
Positions (direct):
F  0.7848  0.4234  0.9854  1 Cl 1.84
F  0.3566  0.0233  0.4887  1 Cl 1.84
F  0.5766  0.7994  0.0146  1 Cl 1.84
F  0.5346  0.6434  0.5113  1 Cl 1.84
F  0.2006  0.5620  0.9854  1 Cl 1.84
F  0.1322  0.4654  0.4887  1 Cl 1.84
F  0.9767  0.8678  0.5113  1 Cl 1.84
F  0.4380  0.2152  0.0146  1 Cl 1.84
K  0.7500  0.2500  0.5000  8 F 2.73-3.04
Cl  0.2500  0.7500  0.5000  4 F 1.84
Cl  0.5000  0.5000  0.0000  4 F 1.84
Rb  0.0000  0.0000  0.0000  8 F 2.92-3.13

***

K2ReCl5F | GGA-PBE | optimized geometry

## Properties
calculated total energy: -39.0 eV/cell
calculated volume: 27.15 Å³ per atom
formation energy from raw total energies: -1.467 eV/atom

abc: 6.9821 6.9821 6.9821
angles: 91.80 118.97 118.97
Closest atoms and distances in Å follow each position.
Positions (direct):
Cl  0.4742  0.2316  0.2316  1 Re 2.38
Cl  0.0000  0.7574  0.2316  1 Re 2.38
Cl  0.0000  0.2399  0.2399  1 Re 2.36
Cl  0.0000  0.2316  0.7574  1 Re 2.38
Cl  0.5258  0.7574  0.7574  1 Re 2.38
K  0.5000  0.7458  0.2458  10 Cl 3.48-3.55, 2 F 3.58
K  0.5000  0.2458  0.7458  10 Cl 3.48-3.55, 2 F 3.58
Re  0.0000  0.9972  0.9972  1 F 1.98
F  0.0000  0.7933  0.7933  1 Re 1.98

***

K3ReCl2F6 | GGA-PBE | optimized geometry

## Properties
calculated total energy: -57.1 eV/cell
calculated volume: 22.20 Å³ per atom
formation energy from raw total energies: -2.206 eV/atom

abc: 4.5758 7.7287 8.7953
angles: 116.06 74.26 90.00
Closest atoms and distances in Å follow each position.
Positions (direct):
F  0.3443  0.7582  0.8825  1 Re 1.94
F  0.6557  0.8757  0.1175  1 Re 1.94
F  0.3443  0.1243  0.8825  1 Re 1.94
F  0.8625  0.9031  0.8061  1 Re 1.89
F  0.1375  0.0969  0.1939  1 Re 1.89
F  0.6557  0.2418  0.1175  1 Re 1.94
K  0.5000  0.5000  0.5000  2 F 2.93, 4 Cl 3.15-3.16
K  0.0000  0.5000  0.0000  4 F 2.91, 2 Cl 3.02
K  0.5000  0.0000  0.5000  2 F 2.93, 4 Cl 3.15-3.16
Cl  0.0704  0.6838  0.3677  5 K 3.02-3.16, 1 F 3.30
Cl  0.9296  0.3162  0.6323  5 K 3.02-3.16, 1 F 3.30
Re  0.5000  0.0000  0.0000  6 F 1.89-1.94

***

K2RuCl4F2 | GGA-PBE | optimized geometry

## Properties
calculated total energy: -36.6 eV/cell
calculated volume: 24.52 Å³ per atom
formation energy from raw total energies: -1.555 eV/atom

abc: 5.8939 6.5486 6.5486
angles: 65.78 75.95 75.95
Closest atoms and distances in Å follow each position.
Positions (direct):
Cl  0.6881  0.8473  0.3229  1 Ru 2.36
Cl  0.3119  0.6771  0.1527  1 Ru 2.36
Cl  0.3119  0.1527  0.6771  1 Ru 2.36
Cl  0.6881  0.3229  0.8473  1 Ru 2.36
F  0.7639  0.8465  0.8465  1 Ru 1.94
F  0.2361  0.1535  0.1535  1 Ru 1.94
Ru  0.5000  0.0000  0.0000  2 F 1.94
K  0.2119  0.6808  0.6808  1 F 2.74
K  0.7881  0.3192  0.3192  1 F 2.74

***

K2RuCl2F4 | GGA-PBE | optimized geometry

## Properties
calculated total energy: -40.0 eV/cell
calculated volume: 20.62 Å³ per atom
formation energy from raw total energies: -1.929 eV/atom

abc: 6.3404 6.3404 6.3404
angles: 93.74 117.86 117.86
Closest atoms and distances in Å follow each position.
Positions (direct):
F  0.4221  0.2110  0.2110  1 Ru 1.95
F  0.0000  0.7890  0.2110  1 Ru 1.95
F  0.5779  0.7890  0.7890  1 Ru 1.95
F  0.0000  0.2110  0.7890  1 Ru 1.95
Cl  0.0000  0.7298  0.7298  1 Ru 2.34
Cl  0.0000  0.2702  0.2702  1 Ru 2.34
Ru  0.0000  0.0000  0.0000  4 F 1.95
K  0.5000  0.2500  0.7500  8 F 3.19, 4 Cl 3.28
K  0.5000  0.7500  0.2500  8 F 3.19, 4 Cl 3.28

***

KSbClF3 | GGA-PBE | optimized geometry

## Properties
calculated total energy: -210.2 eV/cell
calculated volume: 20.89 Å³ per atom
formation energy from raw total energies: -2.266 eV/atom

abc: 8.0021 8.2887 15.1149
angles: 90.00 90.00 90.00
Closest atoms and distances in Å follow each position.
Positions (direct):
F  0.1684  0.4635  0.5461  1 Sb 1.99
F  0.6069  0.7690  0.3556  1 Sb 1.99
F  0.3316  0.9635  0.5461  1 Sb 1.99
F  0.8931  0.2690  0.3556  1 Sb 1.99
F  0.8862  0.0037  0.1491  1 Sb 2.00
F  0.3931  0.2310  0.6444  1 Sb 1.99
F  0.1138  0.5037  0.3509  1 Sb 2.00
F  0.1138  0.9963  0.8509  1 Sb 2.00
F  0.6138  0.5037  0.1491  1 Sb 2.00
F  0.6138  0.9963  0.6491  1 Sb 2.00
F  0.8931  0.2310  0.8556  1 Sb 1.99
F  0.6069  0.7310  0.8556  1 Sb 1.99
F  0.8862  0.4963  0.6491  1 Sb 2.00
F  0.8316  0.5365  0.4539  1 Sb 1.99
F  0.6684  0.4635  0.9539  1 Sb 1.99
F  0.3931  0.2690  0.1444  1 Sb 1.99
F  0.3316  0.5365  0.0461  1 Sb 1.99
F  0.3862  0.4963  0.8509  1 Sb 2.00
F  0.3862  0.0037  0.3509  1 Sb 2.00
F  0.8316  0.9635  0.9539  1 Sb 1.99
F  0.1684  0.0365  0.0461  1 Sb 1.99
F  0.1069  0.7690  0.1444  1 Sb 1.99
F  0.1069  0.7310  0.6444  1 Sb 1.99
F  0.6684  0.0365  0.4539  1 Sb 1.99
K  0.3153  0.8007  0.9425  5 F 2.67-2.93
K  0.8153  0.6993  0.0575  5 F 2.67-2.93
K  0.1847  0.3007  0.9425  5 F 2.67-2.93
K  0.6847  0.3007  0.5575  5 F 2.67-2.93
K  0.3153  0.6993  0.4425  5 F 2.67-2.93
K  0.1847  0.1993  0.4425  5 F 2.67-2.93
K  0.6847  0.1993  0.0575  5 F 2.67-2.93
K  0.8153  0.8007  0.5575  5 F 2.67-2.93
Sb  0.8684  0.9989  0.8249  3 F 1.99-2.00
Sb  0.3684  0.9989  0.6751  3 F 1.99-2.00
Sb  0.1316  0.0011  0.1751  3 F 1.99-2.00
Sb  0.6316  0.4989  0.8249  3 F 1.99-2.00
Sb  0.6316  0.0011  0.3249  3 F 1.99-2.00
Sb  0.3684  0.5011  0.1751  3 F 1.99-2.00
Sb  0.1316  0.4989  0.6751  3 F 1.99-2.00
Sb  0.8684  0.5011  0.3249  3 F 1.99-2.00
Cl  0.0189  0.3739  0.1527  3 Sb 3.01-3.24, 6 F 3.12-3.35, 1 K 3.36
Cl  0.0189  0.1261  0.6527  3 Sb 3.01-3.24, 6 F 3.12-3.35, 1 K 3.36
Cl  0.9811  0.8739  0.3473  3 Sb 3.01-3.24, 6 F 3.12-3.35, 1 K 3.36
Cl  0.5189  0.3739  0.3473  3 Sb 3.01-3.24, 6 F 3.12-3.35, 1 K 3.36
Cl  0.9811  0.6261  0.8473  3 Sb 3.01-3.24, 6 F 3.12-3.35, 1 K 3.36
Cl  0.4811  0.6261  0.6527  3 Sb 3.01-3.24, 6 F 3.12-3.35, 1 K 3.36
Cl  0.4811  0.8739  0.1527  3 Sb 3.01-3.24, 6 F 3.12-3.35, 1 K 3.36
Cl  0.5189  0.1261  0.8473  3 Sb 3.01-3.24, 6 F 3.12-3.35, 1 K 3.36

***

K2SbCl4F2 | GGA-PBE | optimized geometry

## Properties
calculated total energy: -32.9 eV/cell
calculated volume: 25.79 Å³ per atom
formation energy from raw total energies: -1.715 eV/atom

abc: 5.8596 6.7535 6.7535
angles: 63.77 77.73 77.73
Closest atoms and distances in Å follow each position.
Positions (direct):
Cl  0.6922  0.8340  0.3530  1 Sb 2.54
Cl  0.3078  0.6470  0.1660  1 Sb 2.54
Cl  0.6922  0.3530  0.8340  1 Sb 2.54
Cl  0.3078  0.1660  0.6470  1 Sb 2.54
F  0.2176  0.1502  0.1502  1 Sb 2.07
F  0.7824  0.8498  0.8498  1 Sb 2.07
Sb  0.5000  0.0000  0.0000  2 F 2.07
K  0.8089  0.3213  0.3213  1 F 2.69
K  0.1911  0.6787  0.6787  1 F 2.69

***

KScCl2F | GGA-PBE | optimized geometry

## Properties
calculated total energy: -24.5 eV/cell
calculated volume: 23.28 Å³ per atom
formation energy from raw total energies: -2.292 eV/atom

abc: 5.2816 5.2816 4.1726
angles: 90.00 90.00 90.00
Closest atoms and distances in Å follow each position.
Positions (direct):
K  0.5000  0.5000  0.5000  8 Cl 3.37, 4 F 3.73
Cl  0.0000  0.5000  0.0000  2 Sc 2.64
Cl  0.5000  0.0000  0.0000  2 Sc 2.64
Sc  0.0000  0.0000  0.0000  2 F 2.09
F  0.0000  0.0000  0.5000  2 Sc 2.09

***

K2SeCl4F2 | GGA-PBE | optimized geometry

## Properties
calculated total energy: -30.1 eV/cell
calculated volume: 25.59 Å³ per atom
formation energy from raw total energies: -1.474 eV/atom

abc: 6.7958 6.7958 6.7958
angles: 94.84 117.25 117.25
Closest atoms and distances in Å follow each position.
Positions (direct):
K  0.5000  0.7500  0.2500  8 Cl 3.40, 4 F 3.56
K  0.5000  0.2500  0.7500  8 Cl 3.40, 4 F 3.56
Cl  0.0000  0.7556  0.2444  1 Se 2.45
Cl  0.0000  0.2444  0.7556  1 Se 2.45
Cl  0.4889  0.2444  0.2444  1 Se 2.45
Cl  0.5111  0.7556  0.7556  1 Se 2.45
F  0.0000  0.2099  0.2099  1 Se 1.93
F  0.0000  0.7901  0.7901  1 Se 1.93
Se  0.0000  0.0000  0.0000  2 F 1.93

***

K2SnCl4F2 | GGA-PBE | optimized geometry

## Properties
calculated total energy: -34.2 eV/cell
calculated volume: 26.87 Å³ per atom
formation energy from raw total energies: -1.875 eV/atom

abc: 6.6435 6.8223 6.8223
angles: 63.39 65.65 65.65
Closest atoms and distances in Å follow each position.
Positions (direct):
Cl  0.3107  0.6950  0.1832  1 Sn 2.45
Cl  0.6893  0.8168  0.3050  1 Sn 2.45
Cl  0.3107  0.1832  0.6950  1 Sn 2.45
Cl  0.6893  0.3050  0.8168  1 Sn 2.45
K  0.7735  0.2771  0.2771  1 F 2.64
K  0.2265  0.7229  0.7229  1 F 2.64
F  0.2235  0.1842  0.1842  1 Sn 2.03
F  0.7765  0.8158  0.8158  1 Sn 2.03
Sn  0.5000  0.0000  0.0000  2 F 2.03

***

KSnClF2 | GGA-PBE | optimized geometry

## Properties
calculated total energy: -21.0 eV/cell
calculated volume: 25.48 Å³ per atom
formation energy from raw total energies: -2.067 eV/atom

abc: 4.6625 4.6625 5.8594
angles: 90.00 90.00 90.00
Closest atoms and distances in Å follow each position.
Positions (direct):
K  0.5000  0.5000  0.5000  4 Cl 3.30
Cl  0.0000  0.0000  0.5000  2 Sn 2.93
F  0.5000  0.0000  0.0000  2 Sn 2.33
F  0.0000  0.5000  0.0000  2 Sn 2.33
Sn  0.0000  0.0000  0.0000  4 F 2.33